VASP calculation (PBE) on crystalline Tm4TeRh2 at its relaxed geometry.

abc: 8.401 8.401 8.401
angles: 119.91 119.91 90.16
Fractional coordinates of all 14 atoms:
Tm 0.270 0.309 0.540
Tm 0.270 0.730 0.540
Tm 0.270 0.730 0.960
Tm 0.309 0.270 0.040
Tm 0.691 0.730 0.960
Tm 0.730 0.270 0.040
Tm 0.730 0.270 0.460
Tm 0.730 0.691 0.460
Te 0.125 0.875 0.250
Te 0.875 0.125 0.750
Rh 0.000 0.500 0.500
Rh 0.500 0.000 0.000
Rh 0.500 0.500 0.000
Rh 0.500 0.500 0.500

- E_tot (hartree per atom) = -0.2165
- spin magnetization (μB/f.u.) = 0.00
- formation energy (no corrections) (eV/atom) = -0.786
- N(E_F) (states/eV/f.u.) = 1.2